# 1
Hf3GaOs, relaxed, DFT GGA-PBE; D(E_F) = 10.08 states/eV per cell; SG = No. 221; E = -42.089 eV for the cell shown
1.0
-3.0567 -0.6263 -3.9133
2.1964 -4.3814 -1.0144
-3.2988 -2.3369 2.9507
Ga Os Hf
1 1 3
direct
0.5000 0.5000 0.5000 Ga
0.0000 0.0000 0.0000 Os
0.0000 0.0000 0.5000 Hf
0.0000 0.5000 0.0000 Hf
0.5000 0.0000 0.0000 Hf



# 2
HfGa2Os2, relaxed, DFT GGA-PBE; D(E_F) = 5.96 states/eV per cell; SG = No. 127; E = -78.593 eV for the cell shown
1.0
-1.5177 5.5119 4.4873
-1.8509 -4.7367 5.1921
2.8064 -0.0240 0.9786
Os Ga Hf
4 4 2
direct
0.1734 0.6734 0.5000 Os
0.8266 0.3266 0.5000 Os
0.3266 0.1734 0.5000 Os
0.6734 0.8266 0.5000 Os
0.6253 0.1253 0.0000 Ga
0.1253 0.3747 0.0000 Ga
0.8747 0.6253 0.0000 Ga
0.3747 0.8747 0.0000 Ga
0.5000 0.5000 0.0000 Hf
0.0000 0.0000 0.0000 Hf



# 3
Hf5Ga2Os, relaxed, DFT GGA-PBE; D(E_F) = 16.43 states/eV per cell; SG = No. 140; E = -140.182 eV for the cell shown
1.0
6.2081 0.0000 -2.9306
-1.3834 6.0520 -2.9306
0.0765 0.0960 8.2030
Os Hf Ga
2 10 4
direct
0.7500 0.7500 0.5000 Os
0.2500 0.2500 0.5000 Os
0.8234 0.9784 0.3018 Hf
0.0216 0.5216 0.6982 Hf
0.3234 0.8234 0.3018 Hf
0.0000 0.0000 0.0000 Hf
0.9784 0.4784 0.3018 Hf
0.6766 0.1766 0.6982 Hf
0.4784 0.3234 0.3018 Hf
0.5000 0.5000 0.0000 Hf
0.5216 0.6766 0.6982 Hf
0.1766 0.0216 0.6982 Hf
0.6274 0.1274 0.0000 Ga
0.1274 0.3726 0.0000 Ga
0.3726 0.8726 0.0000 Ga
0.8726 0.6274 0.0000 Ga



# 4
Hf3Ga2Os, relaxed, DFT GGA-PBE; D(E_F) = 10.09 states/eV per cell; SG = No. 167; E = -96.263 eV for the cell shown
1.0
-6.0491 2.4720 1.8425
-5.2316 -1.9392 -3.8687
-4.2223 -4.4832 2.8584
Hf Ga Os
6 4 2
direct
0.7500 0.0997 0.4003 Hf
0.4003 0.7500 0.0997 Hf
0.5997 0.2500 0.9003 Hf
0.0997 0.4003 0.7500 Hf
0.9003 0.5997 0.2500 Hf
0.2500 0.9003 0.5997 Hf
0.1704 0.1704 0.1704 Ga
0.8296 0.8296 0.8296 Ga
0.6704 0.6704 0.6704 Ga
0.3296 0.3296 0.3296 Ga
0.5000 0.5000 0.5000 Os
0.0000 0.0000 0.0000 Os



# 5
HfGa3Os, relaxed, DFT GGA-PBE; D(E_F) = 8.74 states/eV per cell; SG = No. 221; E = -21.676 eV for the cell shown
1.0
4.9615 0.0000 0.0000
0.0000 4.9615 0.0000
0.0000 0.0000 4.9615
Hf Os Ga
1 1 3
direct
0.0000 0.0000 0.0000 Hf
0.5000 0.5000 0.5000 Os
0.0000 0.5000 0.0000 Ga
0.0000 0.0000 0.5000 Ga
0.5000 0.0000 0.0000 Ga



# 6
Hf2GaOs2, relaxed, DFT GGA-PBE; D(E_F) = 4.30 states/eV per cell; SG = No. 139; E = -44.613 eV for the cell shown
1.0
-2.9612 1.5074 1.2739
-1.9668 -2.4443 -1.6795
-2.1089 -5.0321 6.0230
Hf Os Ga
2 2 1
direct
0.3936 0.3936 0.2127 Hf
0.6064 0.6064 0.7873 Hf
0.2500 0.7500 0.5000 Os
0.7500 0.2500 0.5000 Os
0.0000 0.0000 0.0000 Ga



Sequential total magnetic moment output: 0.000; 0.000; 0.000; 0.000; 0.007; 0.000 μB per atom